## YSnPd (PBE)

Data for a relaxed YSnPd crystal.

Cell lengths 3.537, 4.691, 4.691 Å; angles 120.00, 90.00, 90.00 degrees
Sites, in units of the cell vectors:
Y1 0.667 0.667 0.333
Sn1 0.167 0.333 0.667
Pd1 0.166 0.000 0.000

Computed properties:
- DFT formation energy (eV/atom) = -0.89
- magnetic moment (μB per atom) = 0.000
- raw total energy (eV/atom) = -6.111
- V (Å³ per atom) = 22.47